PBE Rb5ThTe4, optimized geometry; space group = No. 12; raw total energy = -3.455 eV/atom
1.0
-1.598 -3.766 -2.726
9.409 -2.694 -1.794
-1.032 -3.870 10.384
Rb Th Te
5 1 4
Cartesian
4.267 -7.612 3.581 Rb
-0.508 -5.994 4.145 Rb
7.287 -4.336 1.718 Rb
3.906 -3.230 -2.260 Rb
2.512 -2.718 2.282 Rb
-0.799 -1.883 -1.363 Th
7.406 -6.583 4.753 Te
7.385 -2.213 -1.272 Te
-0.627 -3.747 1.110 Te
-0.605 -8.117 7.135 Te